No. 1
A geometry-optimized Tb12MgSc7 structure. Source: Alexandria, functional PBE.

ΔE_f, meV/atom: 151
Fermi-level density of states, states/eV per cell: 32.20
Uncorrected energy, eV/f.u.: -98.5

Lattice parameters (Å, degrees): 8.9655 8.9655 8.9655 108.00 108.00 108.00
Fractional positions:
Tb1 0.8235 0.3246 0.5884
Tb2 0.6754 0.4116 0.1765
Tb3 0.4025 0.1084 0.2869
Tb4 0.8916 0.7131 0.5975
Tb5 0.4116 0.1765 0.6754
Tb6 0.7131 0.5975 0.8916
Tb7 0.2869 0.4025 0.1084
Tb8 0.5884 0.8235 0.3246
Tb9 0.1084 0.2869 0.4025
Tb10 0.5975 0.8916 0.7131
Tb11 0.3246 0.5884 0.8235
Tb12 0.1765 0.6754 0.4116
Mg1 0.0000 0.0000 0.0000
Sc1 0.1186 0.6956 0.0328
Sc2 0.3044 0.9672 0.8814
Sc3 0.9672 0.8814 0.3044
Sc4 0.5000 0.5000 0.5000
Sc5 0.0328 0.1186 0.6956
Sc6 0.6956 0.0328 0.1186
Sc7 0.8814 0.3044 0.9672


No. 2
A geometry-optimized TbMg4Sc structure. Source: Alexandria, functional PBE.

ΔE_f, meV/atom: -25
Fermi-level density of states, states/eV per cell: 8.04
Uncorrected energy, eV/f.u.: -17.5

Lattice parameters (Å, degrees): 5.9404 5.9404 5.9404 60.00 60.00 60.00
Fractional positions:
Sc1 0.0000 0.0000 0.0000
Mg1 0.6252 0.6252 0.1244
Mg2 0.6252 0.1244 0.6252
Mg3 0.6252 0.6252 0.6252
Mg4 0.1244 0.6252 0.6252
Tb1 0.2500 0.2500 0.2500


No. 3
A geometry-optimized Tb2Mg4Sc structure. Source: Alexandria, functional PBE.

ΔE_f, meV/atom: 26
Fermi-level density of states, states/eV per cell: 6.66
Uncorrected energy, eV/f.u.: -21.8

Lattice parameters (Å, degrees): 5.2325 5.2325 8.2593 71.53 71.53 60.00
Fractional positions:
Tb1 0.7120 0.7120 0.8639
Tb2 0.2880 0.2880 0.1361
Mg1 0.8627 0.8627 0.4119
Mg2 0.1373 0.1373 0.5881
Mg3 0.5695 0.5695 0.2915
Mg4 0.4305 0.4305 0.7085
Sc1 0.0000 0.0000 0.0000


No. 4
A geometry-optimized TbMg6Sc5 structure. Source: Alexandria, functional PBE.

ΔE_f, meV/atom: -41
Fermi-level density of states, states/eV per cell: 16.61
Uncorrected energy, eV/f.u.: -46.4

Lattice parameters (Å, degrees): 5.1330 8.8901 8.8901 119.98 106.74 106.74
Fractional positions:
Sc1 0.5000 0.1640 0.8360
Sc2 0.0000 0.3333 0.6667
Sc3 0.5000 0.5000 0.5000
Sc4 0.0000 0.6667 0.3333
Sc5 0.5000 0.8360 0.1640
Mg1 0.2559 0.0854 0.4258
Mg2 0.7441 0.5742 0.9146
Mg3 0.7614 0.2614 0.2614
Mg4 0.2386 0.7386 0.7386
Mg5 0.2559 0.4258 0.0854
Mg6 0.7441 0.9146 0.5742
Tb1 0.0000 0.0000 0.0000


No. 5
A geometry-optimized Tb2MgSc4 structure. Source: Alexandria, functional PBE.

ΔE_f, meV/atom: 70
Fermi-level density of states, states/eV per cell: 11.36
Uncorrected energy, eV/f.u.: -35.7

Lattice parameters (Å, degrees): 3.3170 3.3125 17.0155 90.00 95.59 90.00
Fractional positions:
Tb1 0.7958 0.5000 0.5916
Tb2 0.2042 0.5000 0.4084
Mg1 0.5000 0.0000 0.0000
Sc1 0.9348 0.5000 0.8696
Sc2 0.6317 0.0000 0.2634
Sc3 0.0652 0.5000 0.1304
Sc4 0.3683 0.0000 0.7366


No. 6
A geometry-optimized Tb2MgSc3 structure. Source: Alexandria, functional PBE.

ΔE_f, meV/atom: 52
Fermi-level density of states, states/eV per cell: 18.31
Uncorrected energy, eV/f.u.: -29.5

Lattice parameters (Å, degrees): 7.9076 8.0469 9.4440 100.30 146.86 77.64
Fractional positions:
Tb1 0.5917 0.0028 0.2501
Tb2 0.4083 0.9972 0.7499
Tb3 0.7414 0.6631 0.7505
Tb4 0.2586 0.3369 0.2495
Mg1 0.9216 0.6660 0.2499
Mg2 0.0784 0.3340 0.7501
Sc1 0.5263 0.6007 0.2508
Sc2 0.4737 0.3993 0.7492
Sc3 0.8452 0.2790 0.2494
Sc4 0.8165 0.0621 0.7499
Sc5 0.1548 0.7210 0.7506
Sc6 0.1835 0.9379 0.2501


No. 7
A geometry-optimized Tb2MgSc6 structure. Source: Alexandria, functional PBE.

ΔE_f, meV/atom: 84
Fermi-level density of states, states/eV per cell: 16.30
Uncorrected energy, eV/f.u.: -48.1

Lattice parameters (Å, degrees): 3.1753 9.1755 9.1755 60.01 90.00 90.00
Fractional positions:
Tb1 0.9999 0.3333 0.3333
Tb2 0.0000 0.6667 0.6667
Mg1 0.0002 0.0000 0.0000
Sc1 0.5004 0.9999 0.3289
Sc2 0.4996 0.0000 0.6711
Sc3 0.4996 0.6711 0.0000
Sc4 0.5000 0.3290 0.6710
Sc5 0.5000 0.6710 0.3290
Sc6 0.5004 0.3289 0.0000


No. 8
A geometry-optimized Tb7MgSc2 structure. Source: Alexandria, functional PBE.

ΔE_f, meV/atom: 611
Fermi-level density of states, states/eV per cell: 14.21
Uncorrected energy, eV/f.u.: -40.6

Lattice parameters (Å, degrees): 5.4794 8.6406 8.6406 118.72 90.00 90.00
Fractional positions:
Tb1 0.0000 0.7561 0.2439
Tb2 0.0000 0.2439 0.7561
Tb3 0.5000 0.0646 0.2983
Tb4 0.5000 0.9354 0.7017
Tb5 0.5000 0.2983 0.0646
Tb6 0.5000 0.7017 0.9354
Tb7 0.5000 0.5000 0.5000
Mg1 0.0000 0.0000 0.0000
Sc1 0.5000 0.7085 0.2915
Sc2 0.5000 0.2915 0.7085